Material: MgZn
Method: DFT, PBE-GGA
State: optimized geometry

Cell: 4.9852 7.9527 4.7320 Å, 90.00 90.00 71.71°
With the nearest neighbours (Å) after each atom.
Positions (direct):
1 Zn 0.0555 0.2061 0.5000  6 Mg 2.83-3.07, 6 Zn 2.85-2.91
2 Zn 0.4616 0.3942 0.5000  6 Mg 2.83-3.06, 6 Zn 2.85-2.91
3 Zn 0.3904 0.2123 0.0000  5 Mg 2.82-3.02, 7 Zn 2.82-3.11
4 Zn 0.8031 0.3873 0.0000  5 Mg 2.82-3.03, 7 Zn 2.82-3.12
5 Zn 0.6226 0.8002 0.0000  10 Mg 2.93-2.97, 2 Zn 3.11-3.12
6 Mg 0.0157 0.0110 0.0000  7 Zn 2.82-3.02, 4 Mg 2.94-3.01
7 Mg 0.6399 0.0144 0.5000  7 Zn 2.83-2.93, 4 Mg 2.91-3.04
8 Mg 0.2634 0.8000 0.5000  8 Mg 2.90-3.04, 4 Zn 2.97-3.07
9 Mg 0.8543 0.5856 0.5000  7 Zn 2.83-2.93, 4 Mg 2.90-3.04
10 Mg 0.2267 0.5889 0.0000  7 Zn 2.82-3.03, 4 Mg 2.94-3.01

## Properties
DFT total energy: -1.437 eV per atom